No. 1
This record from the Alexandria database describes a relaxed structure of LiZnHgPt. The functional is PBE.

Cell and atoms, written as POSCAR:
```
LiZnHgPt
1.0
4.5195 0.0000 0.0000
2.2597 3.9140 0.0000
2.2597 1.3047 3.6901
Pt Li Hg Zn
1 1 1 1
Direct
0.5000 0.5000 0.5000
0.0000 0.0000 0.0000
0.7500 0.7500 0.7500
0.2500 0.2500 0.2500
```

Results
SG: F-43m, No. 216
Energy relative to the elements, eV/atom: -0.376



No. 2
This record from the Alexandria database describes a relaxed structure of LiPu2Hg6. The functional is PBE.

Cell and atoms, written as POSCAR:
```
LiPu2Hg6
1.0
-0.3044 -0.3173 3.1056
8.6508 1.5730 1.0166
2.8862 8.2897 1.1378
Hg Pu Li
6 2 1
Direct
0.4987 0.0000 0.6726
0.5000 0.6725 0.3275
0.5013 0.0000 0.3274
0.5000 0.3275 0.6725
0.5013 0.3274 0.0000
0.4987 0.6726 0.0000
0.0000 0.3333 0.3333
0.0000 0.6667 0.6667
0.0000 0.0000 0.0000
```

Results
Excess energy over the best structure of this formula in the dataset, eV/atom: 0.000
SG: P6/mmm, No. 191
Energy relative to the elements, eV/atom: -0.187



No. 3
This record from the Alexandria database describes a relaxed structure of Li2PuHg6. The functional is PBE.

Cell and atoms, written as POSCAR:
```
Li2PuHg6
1.0
-2.8704 0.8888 1.0738
-3.0193 0.1684 -8.2107
1.0390 -7.6159 4.1240
Li Hg Pu
2 6 1
Direct
0.8430 0.3530 0.7061
0.1570 0.6470 0.2939
0.6787 0.0037 0.3513
0.5000 0.3358 0.0000
0.3213 0.9963 0.6487
0.6787 0.3476 0.3513
0.3213 0.6524 0.6487
0.5000 0.6642 0.0000
0.0000 0.0000 0.0000
```

Results
SG: C2/m, No. 12
Energy relative to the elements, eV/atom: -0.194



- Number 2 is which compound?
  LiPu2Hg6



- Among the records above, which one has the lowest energy relative to the elements?
  LiZnHgPt



- Which of these has the lowest energy relative to the elements?
  LiZnHgPt